ErCuGe | PBE | relaxed

Summary:
* SG: I4mm, No. 107
* ΔH_f (0 K): -0.51 eV per formula unit

Unit cell a=4.9014 b=4.9014 c=4.9014 alpha=133.65 beta=133.65 gamma=67.64
Closest atoms and distances in Å follow each position.
Fractional coordinates of all 3 atoms:
Er 0.0000 0.0000 0.0000  5 Cu 2.80-3.01, 5 Ge 2.82-3.00
Cu 0.3442 0.3442 0.0000  1 Ge 2.52, 1 Er 2.80
Ge 0.6540 0.6540 0.0000  1 Cu 2.52, 1 Er 2.82

---

Ce5PuTc3 | PBE | relaxed

Summary:
* SG: C2/m, No. 12
* ΔH_f (0 K): 0.98 eV per formula unit

Unit cell a=7.5682 b=7.5682 c=9.9093 alpha=107.13 beta=107.13 gamma=70.19
Closest atoms and distances in Å follow each position.
Fractional coordinates of all 18 atoms:
Ce 0.0382 0.0382 0.3478  1 Tc 2.39
Ce 0.1136 0.5147 0.3581  3 Tc 2.69-2.88
Ce 0.1957 0.8043 0.0000  3 Tc 2.65-2.69
Ce 0.2640 0.2640 0.9491  1 Tc 2.44
Ce 0.4853 0.8864 0.6419  3 Tc 2.69-2.88
Ce 0.5147 0.1136 0.3581  3 Tc 2.69-2.88
Ce 0.7360 0.7360 0.0509  1 Tc 2.44
Ce 0.8043 0.1957 0.0000  3 Tc 2.65-2.69
Ce 0.8864 0.4853 0.6419  3 Tc 2.69-2.88
Ce 0.9618 0.9618 0.6522  1 Tc 2.39
Pu 0.4407 0.4407 0.7201  2 Tc 2.54-2.60
Pu 0.5593 0.5593 0.2799  2 Tc 2.54-2.60
Tc 0.1741 0.1741 0.1314  3 Ce 2.44-2.69
Tc 0.1937 0.1937 0.5774  1 Ce 2.39
Tc 0.5000 0.5000 0.0000  2 Pu 2.60, 4 Ce 2.65-2.78
Tc 0.5000 0.5000 0.5000  2 Pu 2.54, 4 Ce 2.83
Tc 0.8063 0.8063 0.4226  1 Ce 2.39
Tc 0.8259 0.8259 0.8686  3 Ce 2.44-2.69

---

Sm8Co3HBr3 | PBE | relaxed

Summary:
* SG: R-3m, No. 166

Unit cell a=8.7490 b=8.7490 c=8.7490 alpha=53.46 beta=53.46 gamma=53.46
Closest atoms and distances in Å follow each position.
Fractional coordinates of all 15 atoms:
Sm 0.2262 0.7346 0.7346  2 Co 2.69, 1 H 2.73
Sm 0.2316 0.2316 0.2316  3 Co 2.70
Sm 0.2654 0.2654 0.7738  2 Co 2.69, 1 H 2.73
Sm 0.2654 0.7738 0.2654  2 Co 2.69, 1 H 2.73
Sm 0.7346 0.2262 0.7346  2 Co 2.69, 1 H 2.73
Sm 0.7346 0.7346 0.2262  2 Co 2.69, 1 H 2.73
Sm 0.7684 0.7684 0.7684  3 Co 2.70
Sm 0.7738 0.2654 0.2654  2 Co 2.69, 1 H 2.73
Co 0.0000 0.0000 0.5000  6 Sm 2.69-2.70
Co 0.0000 0.5000 0.0000  6 Sm 2.69-2.70
Co 0.5000 0.0000 0.0000  6 Sm 2.69-2.70
H 0.5000 0.5000 0.5000  6 Sm 2.73
Br 0.0000 0.5000 0.5000  6 Sm 3.22-3.23
Br 0.5000 0.0000 0.5000  6 Sm 3.22-3.23
Br 0.5000 0.5000 0.0000  6 Sm 3.22-3.23

---

Sm8NiRh3I4 | PBE | relaxed

Summary:
* ΔE_f (raw): -0.881 eV per atom
* SG: R-3m, No. 166

Unit cell a=9.3591 b=9.3591 c=9.3591 alpha=52.35 beta=52.35 gamma=52.35
Closest atoms and distances in Å follow each position.
Fractional coordinates of all 16 atoms:
Sm 0.2287 0.2287 0.2287  3 Rh 2.82
Sm 0.2312 0.7255 0.7255  1 Ni 2.78, 2 Rh 2.81
Sm 0.2745 0.2745 0.7688  1 Ni 2.78, 2 Rh 2.81
Sm 0.2745 0.7688 0.2745  1 Ni 2.78, 2 Rh 2.81
Sm 0.7255 0.2312 0.7255  1 Ni 2.78, 2 Rh 2.81
Sm 0.7255 0.7255 0.2312  1 Ni 2.78, 2 Rh 2.81
Sm 0.7688 0.2745 0.2745  1 Ni 2.78, 2 Rh 2.81
Sm 0.7713 0.7713 0.7713  3 Rh 2.82
Ni 0.5000 0.5000 0.5000  6 Sm 2.78
Rh 0.0000 0.0000 0.5000  6 Sm 2.81-2.82
Rh 0.0000 0.5000 0.0000  6 Sm 2.81-2.82
Rh 0.5000 0.0000 0.0000  6 Sm 2.81-2.82
I 0.0000 0.0000 0.0000  6 Sm 3.52
I 0.0000 0.5000 0.5000  6 Sm 3.48-3.49
I 0.5000 0.0000 0.5000  6 Sm 3.48-3.49
I 0.5000 0.5000 0.0000  6 Sm 3.48-3.49

---

| no. | final energy (eV/atom) | size of the total moment (μB per cell) |
| --- | --- | --- |
| 1 | -4.60 | 0.0 |
| 2 | -8.24 | 15.1 |
| 3 | -5.07 | 0.0 |
| 4 | -5.37 | 0.0 |